Record 1
Entry from the Alexandria database: crystalline PmGdAu2 at its relaxed geometry (PBE).

Lattice parameters (Å, degrees): 3.6577 3.6577 7.3347 90.00 90.00 90.00
Space group P4/mmm (No. 123)
Unique sites:
Pm 0.0000 0.0000 0.0000 (multiplicity 1)
Gd 0.0000 0.0000 0.5000 (multiplicity 1)
Au 0.5000 0.5000 0.2585 (multiplicity 2)

Output
* energy relative to the elements: -807.8 meV per atom
* M_tot: 7.1 μB/cell
* uncorrected energy: -28.62 eV for the cell shown
* polymorph energy (0 for the lowest one): 0.000 eV/f.u.
* theoretical density: 11.78 g cm⁻³

---

Record 2
Entry from the Alexandria database: crystalline CrC3N at its relaxed geometry (PBE).

Lattice parameters (Å, degrees): 3.3739 3.3739 3.3739 90.00 90.00 90.00
Space group Pm-3m (No. 221)
Unique sites:
Cr 0.0000 0.0000 0.0000 (multiplicity 1)
C 0.0000 0.5000 0.5000 (multiplicity 3)
N 0.5000 0.5000 0.5000 (multiplicity 1)

Output
* formation energy without anion corrections: 286 kJ per mole of atoms
* M_tot: 0.0 μB/cell
* uncorrected energy: -30.77 eV for the cell shown
* polymorph energy (0 for the lowest one): 0.812 eV/f.u.
* theoretical density: 4.41 g cm⁻³

---

Asked for DOS at the Fermi energy across the records above, the calculation gives 3.16; 3.88 states/eV per cell in order.